Record 1
# GGA-PBE Y2TmAg, relaxed
# Energy above the most stable polymorph in this dataset: 0.002 eV per atom
data_Y2TmAg
_space_group_name_H-M_alt 'P 4/m m m'
_space_group_IT_number 123
_space_group_name_Hall '-P 4 2'
_cell_length_a 3.558
_cell_length_b 3.558
_cell_length_c 8.848
_cell_angle_alpha 90.00
_cell_angle_beta 90.00
_cell_angle_gamma 90.00
loop_
_atom_site_label
_atom_site_type_symbol
_atom_site_fract_x
_atom_site_fract_y
_atom_site_fract_z
_atom_site_occupancy
Y1 Y 0.000 0.000 0.217 1
Tm1 Tm 0.500 0.500 0.500 1
Ag1 Ag 0.500 0.500 0.000 1

Record 2
# GGA-PBE Sr3LiTb3Se8, relaxed
# Raw formation energy: -1.832 eV per atom
data_Sr3LiTb3Se8
_space_group_name_H-M_alt 'R -3 m'
_space_group_IT_number 166
_space_group_name_Hall '-R 3 2"'
_cell_length_a 8.3869
_cell_length_b 8.3869
_cell_length_c 21.2495
_cell_angle_alpha 90.00
_cell_angle_beta 90.00
_cell_angle_gamma 120.00
loop_
_atom_site_label
_atom_site_type_symbol
_atom_site_fract_x
_atom_site_fract_y
_atom_site_fract_z
_atom_site_occupancy
Sr1 Sr 0.0000 0.5000 0.0000 1
Li1 Li 0.0000 0.0000 0.5000 1
Tb1 Tb 0.0000 0.5000 0.5000 1
Se1 Se 0.0000 0.0000 0.2437 1
Se2 Se 0.0026 0.5013 0.7588 1